[1]
4
Lattice="3.768 0.000 0.000 1.884 3.263 0.000 1.884 1.088 8.094" Properties=species:S:1:pos:R:3 comment="Ho2AlSe PBE optimized geometry" e_form_raw_ev_per_atom=-0.9367 vol_a3_per_cell=99.52 e_tot_ev_per_atom=-5.0324 density_g_cm3=7.27 pbc="T T T"
Ho 1.884 1.088 5.985
Ho 1.884 1.088 2.106
Al 5.652 3.263 8.077
Se 3.768 2.176 4.066

[2]
8
Lattice="-3.886 -0.741 0.568 1.678 -5.181 4.712 -0.664 6.218 3.572" Properties=species:S:1:pos:R:3 comment="Ho4AlSe3 PBE optimized geometry" e_form_raw_ev_per_atom=-1.3695 vol_a3_per_cell=196.52 e_tot_ev_per_atom=-5.4329 density_g_cm3=7.80 pbc="T T T"
Ho 0.253 0.259 2.069
Ho -0.841 -2.752 4.716
Ho 0.761 0.778 6.215
Ho -2.032 3.048 4.136
Se -0.332 3.109 1.786
Se -1.436 0.148 4.426
Se 0.839 -2.590 2.356
Al -1.943 -0.371 0.284

[3]
70
Lattice="-8.951 5.294 -5.879 6.110 -2.487 -9.959 -5.426 -10.639 0.262" Properties=species:S:1:pos:R:3 comment="Ho9Al5Se21 PBE optimized geometry" e_form_raw_ev_per_atom=-1.4849 vol_a3_per_cell=1693.40 e_tot_ev_per_atom=-5.2874 density_g_cm3=6.43 pbc="T T T"
Ho -8.669 1.609 -6.306
Ho -5.244 -8.944 -10.672
Ho -2.668 -6.308 -5.655
Ho -6.401 -2.113 -5.782
Ho 2.438 -2.047 -10.362
Ho -9.192 -4.646 -10.738
Ho -4.190 -4.059 -13.688
Ho -1.557 -1.648 -8.587
Ho -4.246 -9.489 -3.073
Ho -5.821 -1.642 -10.207
Ho -3.030 1.096 -4.939
Ho 0.326 -9.603 -9.540
Ho 0.907 -3.209 -4.864
Ho -10.887 -5.944 -5.429
Ho -1.975 -5.838 -10.138
Ho -4.168 1.591 -12.784
Ho -6.856 -6.403 -7.263
Ho -4.098 -3.781 -1.920
Al -3.948 -10.179 -7.527
Al -10.143 -2.189 -8.257
Al -1.203 -2.124 -13.035
Al 1.244 -6.128 -8.338
Al -4.850 1.739 -9.059
Al -7.556 -6.187 -3.638
Al -1.146 -1.085 -2.159
Al -6.807 -6.450 -12.826
Al -2.668 -2.528 -5.028
Al -5.289 -5.011 -9.966
Se -2.927 -9.180 -5.612
Se -9.094 -1.237 -6.333
Se -0.203 -1.165 -11.088
Se -0.455 -7.763 -11.622
Se -6.611 0.126 -12.322
Se -9.294 -7.863 -6.881
Se -6.197 -9.507 -7.968
Se -3.422 -6.735 -2.781
Se -3.407 -1.307 -13.515
Se -2.749 -9.834 -9.577
Se -9.067 -1.754 -10.344
Se -6.161 0.804 -5.118
Se 1.301 -1.918 -7.709
Se -10.424 -4.569 -8.151
Se -1.376 -4.505 -13.042
Se 2.590 -7.735 -9.483
Se -3.515 0.175 -10.267
Se -6.144 -7.721 -4.830
Se -0.759 -7.360 -7.941
Se -6.839 0.478 -8.584
Se -9.593 -7.359 -3.206
Se 0.560 -4.528 -9.994
Se -5.445 3.299 -10.767
Se -8.223 -4.656 -5.340
Se -4.127 -6.466 -8.208
Se -1.323 -3.614 -2.850
Se -1.355 1.749 -13.384
Se -0.255 -11.392 -7.360
Se -6.652 -3.636 -8.291
Se -3.649 -0.965 -2.948
Se -0.600 -0.700 -4.700
Se -12.110 -3.356 -5.109
Se -3.382 -3.316 -10.187
Se -6.537 -3.830 -11.950
Se -3.715 -1.081 -6.723
Se -6.628 -9.194 -1.498
Se -1.327 -3.898 -6.574
Se -7.588 3.937 -7.592
Se -4.206 -6.474 -11.857
Se 4.215 -4.218 -9.755
Se -7.253 -6.747 -10.103
Se -4.543 -4.103 -4.764

[4]
80
Lattice="-6.901 -6.498 -9.784 -3.904 -4.679 12.183 -2.541 13.362 -0.760" Properties=species:S:1:pos:R:3 comment="Ho3Al5Se12 PBE optimized geometry" e_form_raw_ev_per_atom=-1.1986 vol_a3_per_cell=1945.93 e_tot_ev_per_atom=-4.9117 density_g_cm3=5.38 pbc="T T T"
Ho -6.957 -4.958 -2.864
Ho -9.284 -7.525 0.482
Ho -7.104 2.405 4.994
Ho -3.166 2.801 -1.208
Ho -7.162 -2.930 -7.228
Ho -5.663 -2.021 3.756
Ho -7.683 4.205 -2.116
Ho -6.184 5.115 8.868
Ho -10.179 -0.617 2.848
Ho -6.242 -0.220 -3.354
Ho -4.062 9.709 1.158
Ho -6.388 7.143 4.504
Al -2.962 0.774 3.156
Al -1.952 -2.340 6.092
Al 0.000 0.000 0.000
Al -3.881 -1.936 -0.718
Al -4.721 3.432 -5.272
Al -5.402 -5.588 1.200
Al -4.743 0.689 7.630
Al -7.887 6.233 -6.479
Al -8.568 -2.787 -0.008
Al -4.982 7.000 -2.716
Al -8.364 -4.815 4.356
Al -6.673 1.092 0.820
Al -3.451 -3.249 -4.892
Al -1.270 6.681 -0.380
Al -4.777 4.972 1.648
Al -5.458 -4.048 8.120
Al -3.222 4.341 5.712
Al -8.602 1.496 -5.990
Al -9.464 4.121 2.358
Al -10.384 1.411 -1.516
Se -5.459 -4.745 -5.461
Se -5.355 0.876 3.014
Se -8.883 -4.160 -5.093
Se -4.808 -2.794 -2.759
Se -8.530 1.911 2.395
Se -9.426 -6.691 -2.402
Se -6.374 -0.270 6.153
Se -4.506 -3.217 10.159
Se -9.567 0.674 5.492
Se -7.629 -4.995 0.065
Se -8.238 -2.291 -2.333
Se -9.319 -9.169 2.998
Se -4.974 3.001 7.029
Se -4.417 -3.217 1.240
Se -5.100 0.219 9.956
Se -4.840 4.620 -2.998
Se -1.812 1.413 1.148
Se -6.093 -4.991 3.601
Se -9.992 -5.744 2.857
Se -2.697 -1.531 3.770
Se -8.384 3.594 7.496
Se -7.560 -1.219 1.504
Se -10.847 -2.644 0.732
Se -9.044 5.561 -4.487
Se -5.786 3.404 0.137
Se -2.498 4.829 0.908
Se -4.301 -3.376 6.127
Se -3.353 7.929 -1.217
Se -4.962 -1.409 -5.856
Se -10.648 3.716 -2.130
Se -7.253 7.176 -1.960
Se -8.506 -2.436 4.638
Se -11.534 0.772 0.492
Se -8.245 1.966 -8.316
Se -8.372 -0.817 -5.389
Se -4.026 11.353 -1.358
Se -8.929 5.402 0.400
Se -3.778 1.510 -3.852
Se -5.717 7.179 1.575
Se -5.108 4.476 3.973
Se -8.840 5.402 -8.519
Se -6.972 2.455 -4.513
Se -8.538 4.979 4.400
Se -3.919 8.876 4.043
Se -4.816 0.274 -0.755
Se -4.462 6.345 6.733
Se -7.990 1.309 -1.374
Se -7.886 6.930 7.101